No. 1
Crystalline ZrSi4Cl at its relaxed geometry. Source: Alexandria, functional GGA-PBE.

**Space group**: No. 216
**Uncorrected formation energy**: -2 kJ per mole of atoms
**Crystal system**: cubic

a b c (Å): 5.166 5.166 5.166
angles (deg): 60.00 60.00 60.00
Sites, in units of the cell vectors:
Zr (0.750, 0.750, 0.750)
Si (0.886, 0.371, 0.371)
Si (0.371, 0.371, 0.371)
Si (0.371, 0.886, 0.371)
Cl (0.000, 0.000, 0.000)
Si (0.371, 0.371, 0.886)


No. 2
Crystalline CsPuTlBr6 at its relaxed geometry. Source: Alexandria, functional GGA-PBE.

**Space group**: No. 163
**Uncorrected formation energy**: -129 kJ per mole of atoms
**Crystal system**: trigonal

a b c (Å): 8.536 8.536 12.270
angles (deg): 90.00 90.00 120.00
Sites, in units of the cell vectors:
Cs (0.333, 0.667, 0.250)
Br (0.607, 0.923, 0.881)
Pu (0.333, 0.667, 0.750)
Br (0.607, 0.683, 0.619)
Br (0.393, 0.077, 0.119)
Tl (0.000, 0.000, 0.000)
Br (0.317, 0.393, 0.881)
Tl (0.000, 0.000, 0.500)
Pu (0.667, 0.333, 0.250)
Br (0.077, 0.683, 0.881)
Cs (0.667, 0.333, 0.750)
Br (0.923, 0.317, 0.119)
Br (0.923, 0.607, 0.381)
Br (0.317, 0.923, 0.619)
Br (0.683, 0.607, 0.119)
Br (0.683, 0.077, 0.381)
Br (0.077, 0.393, 0.619)
Br (0.393, 0.317, 0.381)


No. 3
Crystalline InSiN3 at its relaxed geometry. Source: Alexandria, functional GGA-PBE.

**Space group**: No. 221
**Uncorrected formation energy**: 60 kJ per mole of atoms
**Crystal system**: cubic

a b c (Å): 3.666 3.666 3.666
angles (deg): 90.00 90.00 90.00
Sites, in units of the cell vectors:
N (0.000, 0.500, 0.000)
N (0.500, 0.000, 0.000)
Si (0.000, 0.000, 0.000)
In (0.500, 0.500, 0.500)
N (0.000, 0.000, 0.500)


No. 4
Crystalline Te3RhF at its relaxed geometry. Source: Alexandria, functional GGA-PBE.

**Offset from the most stable computed form**: 0.0 kJ per mole of atoms
**Space group**: No. 221
**Uncorrected formation energy**: 14 kJ per mole of atoms
**Crystal system**: cubic

a b c (Å): 5.153 5.153 5.153
angles (deg): 90.00 90.00 90.00
Sites, in units of the cell vectors:
Te (0.000, 0.500, 0.000)
Te (0.000, 0.000, 0.500)
Rh (0.000, 0.000, 0.000)
F (0.500, 0.500, 0.500)
Te (0.500, 0.000, 0.000)


No. 5
Crystalline KRbMgSn at its relaxed geometry. Source: Alexandria, functional GGA-PBE.

**Space group**: No. 216
**Crystal system**: cubic
**DFT formation energy**: -0.032 eV per atom

a b c (Å): 5.757 5.757 5.757
angles (deg): 60.00 60.00 60.00
Sites, in units of the cell vectors:
Mg (0.500, 0.500, 0.500)
K (0.000, 0.000, 0.000)
Rb (0.750, 0.750, 0.750)
Sn (0.250, 0.250, 0.250)


No. 6
Crystalline LaPm2Sb at its relaxed geometry. Source: Alexandria, functional GGA-PBE.

**Offset from the most stable computed form**: 6.8 kJ per mole of atoms
**Space group**: No. 123
**Uncorrected formation energy**: -50 kJ per mole of atoms
**Crystal system**: tetragonal

a b c (Å): 4.101 4.101 7.433
angles (deg): 90.00 90.00 90.00
Sites, in units of the cell vectors:
La (0.500, 0.500, 0.000)
Sb (0.500, 0.500, 0.500)
Pm (0.000, 0.000, 0.287)
Pm (0.000, 0.000, 0.713)


No. 7
Crystalline Pm6Sm3Ho2Er at its relaxed geometry. Source: Alexandria, functional GGA-PBE.

**Space group**: No. 12
**Crystal system**: monoclinic
**DFT formation energy**: 0.014 eV per atom

a b c (Å): 6.265 6.265 11.925
angles (deg): 95.01 95.01 120.00
Sites, in units of the cell vectors:
Pm (0.584, 0.917, 0.753)
Pm (0.416, 0.083, 0.247)
Pm (0.250, 0.250, 0.753)
Pm (0.750, 0.750, 0.247)
Er (0.000, 0.000, 0.000)
Sm (0.500, 0.500, 0.500)
Ho (0.333, 0.667, 0.000)
Ho (0.667, 0.333, 0.000)
Sm (0.167, 0.833, 0.500)
Pm (0.917, 0.584, 0.753)
Sm (0.833, 0.167, 0.500)
Pm (0.083, 0.416, 0.247)


No. 8
Crystalline La6Pm2PrHo at its relaxed geometry. Source: Alexandria, functional GGA-PBE.

**Space group**: No. 12
**Crystal system**: monoclinic
**DFT formation energy**: 0.179 eV per atom

a b c (Å): 9.340 6.994 6.750
angles (deg): 121.20 105.05 90.00
Sites, in units of the cell vectors:
Pm (0.831, 0.927, 0.855)
Ho (0.000, 0.500, 0.000)
La (0.808, 0.966, 0.398)
Pr (0.500, 0.000, 0.000)
La (0.192, 0.568, 0.602)
La (0.808, 0.432, 0.398)
La (0.422, 0.628, 0.257)
La (0.578, 0.372, 0.743)
Pm (0.169, 0.073, 0.145)
La (0.192, 0.034, 0.602)


No. 9
Crystalline Er6Se3S2 at its relaxed geometry. Source: Alexandria, functional GGA-PBE.

**Space group**: No. 166
**Uncorrected formation energy**: -157 kJ per mole of atoms
**Crystal system**: trigonal

a b c (Å): 3.898 3.898 19.656
angles (deg): 84.31 84.31 60.00
Sites, in units of the cell vectors:
S (0.551, 0.551, 0.347)
Er (0.910, 0.910, 0.271)
Er (0.638, 0.638, 0.085)
Er (0.090, 0.090, 0.729)
Se (0.000, 0.000, 0.000)
Er (0.362, 0.362, 0.915)
Er (0.191, 0.191, 0.428)
Se (0.274, 0.274, 0.178)
S (0.449, 0.449, 0.653)
Er (0.809, 0.809, 0.572)
Se (0.726, 0.726, 0.822)


No. 10
Crystalline Pm2ErRuO8 at its relaxed geometry. Source: Alexandria, functional GGA-PBE.

**Space group**: No. 65
**Uncorrected formation energy**: -224 kJ per mole of atoms
**Crystal system**: orthorhombic

a b c (Å): 5.131 5.137 6.844
angles (deg): 90.00 90.00 90.73
Sites, in units of the cell vectors:
O (0.301, 0.302, 0.500)
O (0.178, 0.822, 0.788)
O (0.178, 0.822, 0.212)
O (0.822, 0.178, 0.212)
Pm (0.500, 0.500, 0.250)
O (0.259, 0.260, 0.000)
O (0.822, 0.178, 0.788)
O (0.699, 0.698, 0.500)
Ru (0.000, 0.000, 0.000)
Pm (0.500, 0.500, 0.750)
O (0.741, 0.740, 0.000)
Er (0.000, 0.000, 0.500)


No. 11
Crystalline B5C7 at its relaxed geometry. Source: Alexandria, functional GGA-PBE.

**Offset from the most stable computed form**: 6.6 kJ per mole of atoms
**Space group**: No. 6
**Crystal system**: monoclinic
**DFT formation energy**: 0.326 eV per atom

a b c (Å): 2.559 3.919 7.998
angles (deg): 88.83 90.00 90.00
Sites, in units of the cell vectors:
B (0.000, 0.947, 0.970)
C (0.500, 0.777, 0.662)
B (0.000, 0.294, 0.202)
B (0.500, 0.544, 0.504)
C (0.000, 0.987, 0.680)
C (0.500, 0.732, 0.009)
B (0.500, 0.499, 0.835)
C (0.500, 0.763, 0.326)
B (0.000, 0.221, 0.490)
C (0.500, 0.524, 0.168)
C (0.000, 0.981, 0.327)
C (0.000, 0.232, 0.827)


No. 12
Crystalline LiInHg2 at its relaxed geometry. Source: Alexandria, functional GGA-PBE.

**Space group**: No. 216
**Crystal system**: cubic
**DFT formation energy**: -0.120 eV per atom

a b c (Å): 5.061 5.061 5.061
angles (deg): 60.00 60.00 60.00
Sites, in units of the cell vectors:
Hg (0.000, 0.000, 0.000)
Li (0.250, 0.250, 0.250)
In (0.500, 0.500, 0.500)
Hg (0.750, 0.750, 0.750)


No. 13
Crystalline CsK3Al at its relaxed geometry. Source: Alexandria, functional GGA-PBE.

**Offset from the most stable computed form**: 55.3 kJ per mole of atoms
**Space group**: No. 221
**Crystal system**: cubic
**DFT formation energy**: 0.810 eV per atom

a b c (Å): 7.572 7.572 7.572
angles (deg): 90.00 90.00 90.00
Sites, in units of the cell vectors:
Cs (0.000, 0.000, 0.000)
K (0.000, 0.500, 0.000)
K (0.000, 0.000, 0.500)
K (0.500, 0.000, 0.000)
Al (0.500, 0.500, 0.500)


No. 14
Crystalline Pr3HgAs at its relaxed geometry. Source: Alexandria, functional GGA-PBE.

**Space group**: No. 62
**Crystal system**: orthorhombic
**DFT formation energy**: -0.719 eV per atom

a b c (Å): 4.690 7.605 17.108
angles (deg): 90.00 90.00 90.00
Sites, in units of the cell vectors:
Hg (0.750, 0.386, 0.694)
As (0.750, 0.223, 0.460)
Pr (0.750, 0.132, 0.055)
Pr (0.750, 0.632, 0.445)
As (0.250, 0.777, 0.540)
Pr (0.250, 0.674, 0.719)
Pr (0.250, 0.512, 0.102)
Pr (0.250, 0.174, 0.781)
Pr (0.750, 0.988, 0.602)
Hg (0.250, 0.614, 0.306)
Pr (0.750, 0.326, 0.281)
As (0.750, 0.723, 0.040)
Hg (0.750, 0.886, 0.806)
Pr (0.250, 0.368, 0.555)
Hg (0.250, 0.114, 0.194)
As (0.250, 0.277, 0.960)
Pr (0.750, 0.488, 0.898)
Pr (0.250, 0.012, 0.398)
Pr (0.250, 0.868, 0.945)
Pr (0.750, 0.826, 0.219)


No. 15
Crystalline Ba2CdHg6Rh at its relaxed geometry. Source: Alexandria, functional GGA-PBE.

**Space group**: No. 12
**Crystal system**: monoclinic
**DFT formation energy**: -0.239 eV per atom

a b c (Å): 7.649 7.648 7.603
angles (deg): 60.07 60.06 90.01
Sites, in units of the cell vectors:
Hg (0.742, 0.742, 0.004)
Hg (0.254, 0.254, 0.487)
Hg (0.257, 0.744, 0.000)
Ba (0.750, 0.250, 0.500)
Hg (0.258, 0.258, 0.996)
Cd (0.000, 0.000, 0.000)
Ba (0.250, 0.750, 0.500)
Rh (0.500, 0.500, 0.000)
Hg (0.746, 0.746, 0.513)
Hg (0.743, 0.256, 0.000)


No. 16
Crystalline NdHo2AlPd4 at its relaxed geometry. Source: Alexandria, functional GGA-PBE.

**Space group**: No. 166
**Crystal system**: trigonal
**DFT formation energy**: -0.822 eV per atom

a b c (Å): 4.801 4.801 8.675
angles (deg): 73.94 73.94 60.00
Sites, in units of the cell vectors:
Pd (0.394, 0.394, 0.818)
Pd (0.871, 0.871, 0.387)
Pd (0.129, 0.129, 0.613)
Nd (0.000, 0.000, 0.000)
Pd (0.606, 0.606, 0.182)
Ho (0.243, 0.243, 0.272)
Al (0.500, 0.500, 0.500)
Ho (0.757, 0.757, 0.728)


No. 17
Crystalline CsTl2TcO4 at its relaxed geometry. Source: Alexandria, functional GGA-PBE.

**Space group**: No. 42
**Uncorrected formation energy**: -111 kJ per mole of atoms
**Crystal system**: orthorhombic

a b c (Å): 6.952 6.952 6.220
angles (deg): 123.83 123.83 90.22
Sites, in units of the cell vectors:
Tc (0.500, 0.500, 0.000)
O (0.213, 0.213, 0.738)
Tl (0.750, 0.250, 0.501)
Cs (0.000, 0.000, 0.000)
O (0.786, 0.475, 0.262)
O (0.475, 0.786, 0.262)
Tl (0.250, 0.750, 0.501)
O (0.525, 0.525, 0.738)


No. 18
Crystalline YBeO2 at its relaxed geometry. Source: Alexandria, functional GGA-PBE.

**Space group**: No. 122
**Uncorrected formation energy**: -220 kJ per mole of atoms
**Crystal system**: tetragonal

a b c (Å): 4.790 4.790 5.301
angles (deg): 63.14 63.14 90.00
Sites, in units of the cell vectors:
Y (0.750, 0.250, 0.500)
O (0.875, 0.764, 0.750)
Y (0.000, 0.000, 0.000)
Be (0.500, 0.500, 0.000)
O (0.375, 0.486, 0.750)
O (0.236, 0.625, 0.250)
O (0.514, 0.125, 0.250)
Be (0.250, 0.750, 0.500)


No. 19
Crystalline SnBiSbAu at its relaxed geometry. Source: Alexandria, functional GGA-PBE.

**Space group**: No. 166
**Uncorrected formation energy**: 2 kJ per mole of atoms
**Crystal system**: trigonal

a b c (Å): 4.586 4.586 13.168
angles (deg): 79.97 79.97 60.00
Sites, in units of the cell vectors:
Sb (0.092, 0.092, 0.725)
Sn (0.185, 0.185, 0.445)
Bi (0.362, 0.362, 0.913)
Au (0.269, 0.269, 0.192)
Au (0.731, 0.731, 0.808)
Sb (0.908, 0.908, 0.275)
Bi (0.638, 0.638, 0.087)
Sn (0.815, 0.815, 0.555)


No. 20
Crystalline K2Np3ZnO12 at its relaxed geometry. Source: Alexandria, functional GGA-PBE.

**Space group**: No. 166
**Uncorrected formation energy**: -230 kJ per mole of atoms
**Crystal system**: trigonal

a b c (Å): 7.463 7.463 7.463
angles (deg): 63.93 63.93 63.93
Sites, in units of the cell vectors:
Np (0.500, 0.000, 0.000)
O (0.068, 0.680, 0.680)
O (0.680, 0.680, 0.068)
O (0.678, 0.065, 0.065)
K (0.374, 0.374, 0.374)
Zn (0.000, 0.000, 0.000)
O (0.065, 0.065, 0.678)
O (0.935, 0.935, 0.322)
O (0.065, 0.678, 0.065)
O (0.320, 0.320, 0.932)
Np (0.000, 0.000, 0.500)
O (0.680, 0.068, 0.680)
Np (0.000, 0.500, 0.000)
O (0.322, 0.935, 0.935)
O (0.935, 0.322, 0.935)
O (0.932, 0.320, 0.320)
O (0.320, 0.932, 0.320)
K (0.626, 0.626, 0.626)